1.
# LiLaCd2Hg5 | Alexandria | PBE | optimized geometry
# space-group type	Immm (71)
# calculated formation energy	-0.120	eV per atom
# volume	236.72	Å³ per cell
data_LiLaCd2Hg5
_cell_length_a 8.424
_cell_length_b 8.424
_cell_length_c 8.424
_cell_angle_alpha 146.31
_cell_angle_beta 133.97
_cell_angle_gamma 58.24
_symmetry_space_group_name_H-M 'P 1'
_symmetry_Int_Tables_number 1
loop_
_symmetry_equiv_pos_as_xyz
'x,y,z'
loop_
_atom_site_label
_atom_site_type_symbol
_atom_site_fract_x
_atom_site_fract_y
_atom_site_fract_z
Li1 Li 0.000 0.000 0.000
La1 La 0.500 0.500 0.000
Cd1 Cd 0.193 0.693 0.500
Cd2 Cd 0.807 0.307 0.500
Hg1 Hg 0.000 0.500 0.500
Hg2 Hg 0.132 0.864 0.268
Hg3 Hg 0.404 0.136 0.268
Hg4 Hg 0.596 0.864 0.732
Hg5 Hg 0.868 0.136 0.732

***

2.
# LaLuCdHg | Alexandria | PBE | optimized geometry
# space-group type	F-43m (216)
# calculated formation energy	-0.373	eV per atom
# volume	110.51	Å³ per cell
data_LaLuCdHg
_cell_length_a 5.386
_cell_length_b 5.386
_cell_length_c 5.386
_cell_angle_alpha 60.00
_cell_angle_beta 60.00
_cell_angle_gamma 60.00
_symmetry_space_group_name_H-M 'P 1'
_symmetry_Int_Tables_number 1
loop_
_symmetry_equiv_pos_as_xyz
'x,y,z'
loop_
_atom_site_label
_atom_site_type_symbol
_atom_site_fract_x
_atom_site_fract_y
_atom_site_fract_z
La1 La 0.000 0.000 0.000
Lu1 Lu 0.500 0.500 0.500
Cd1 Cd 0.250 0.250 0.250
Hg1 Hg 0.750 0.750 0.750

***

3.
# LaMgCd2Hg5 | Alexandria | PBE | optimized geometry
# space-group type	Immm (71)
# calculated formation energy	-0.043	eV per atom
# volume	251.58	Å³ per cell
data_LaMgCd2Hg5
_cell_length_a 8.612
_cell_length_b 8.612
_cell_length_c 8.612
_cell_angle_alpha 145.39
_cell_angle_beta 135.64
_cell_angle_gamma 57.45
_symmetry_space_group_name_H-M 'P 1'
_symmetry_Int_Tables_number 1
loop_
_symmetry_equiv_pos_as_xyz
'x,y,z'
loop_
_atom_site_label
_atom_site_type_symbol
_atom_site_fract_x
_atom_site_fract_y
_atom_site_fract_z
La1 La 0.000 0.000 0.000
Mg1 Mg 0.500 0.500 0.000
Cd1 Cd 0.311 0.811 0.500
Cd2 Cd 0.689 0.189 0.500
Hg1 Hg 0.084 0.356 0.728
Hg2 Hg 0.372 0.644 0.728
Hg3 Hg 0.500 0.000 0.500
Hg4 Hg 0.628 0.356 0.272
Hg5 Hg 0.916 0.644 0.272

***

4.
# LaMgCd2Hg4 | Alexandria | PBE | optimized geometry
# space-group type	R-3m (166)
# calculated formation energy	-0.264	eV per atom
# volume	194.34	Å³ per cell
data_LaMgCd2Hg4
_cell_length_a 9.442
_cell_length_b 9.442
_cell_length_c 9.442
_cell_angle_alpha 30.68
_cell_angle_beta 30.68
_cell_angle_gamma 30.68
_symmetry_space_group_name_H-M 'P 1'
_symmetry_Int_Tables_number 1
loop_
_symmetry_equiv_pos_as_xyz
'x,y,z'
loop_
_atom_site_label
_atom_site_type_symbol
_atom_site_fract_x
_atom_site_fract_y
_atom_site_fract_z
La1 La 0.000 0.000 0.000
Mg1 Mg 0.500 0.500 0.500
Cd1 Cd 0.249 0.249 0.249
Cd2 Cd 0.751 0.751 0.751
Hg1 Hg 0.130 0.130 0.130
Hg2 Hg 0.387 0.387 0.387
Hg3 Hg 0.613 0.613 0.613
Hg4 Hg 0.870 0.870 0.870